Compound: AlCrNi
Source: Alexandria
Functional: PBE-GGA
Structure: relaxed

a = 2.6435 Å, b = 2.6427 Å, c = 12.1698 Å
α = 90.00°, β = 90.00°, γ = 120.01°
Last column: nearest neighbours and their distance in Å.
Positions (direct):
Cr1 0.6110 0.2221 0.0000  6 Ni 2.49, 6 Cr 2.64
Cr2 0.2778 0.5557 0.5000  6 Al 2.63, 6 Cr 2.64
Al1 0.6112 0.2225 0.3245  3 Ni 2.50, 3 Cr 2.63, 6 Al 2.64
Al2 0.6112 0.2225 0.6755  3 Ni 2.50, 3 Cr 2.63, 6 Al 2.64
Ni1 0.2776 0.5553 0.8381  3 Cr 2.49, 3 Al 2.50, 6 Ni 2.64
Ni2 0.2776 0.5553 0.1619  3 Cr 2.49, 3 Al 2.50, 6 Ni 2.64

## Properties
Its raw total energy is -6.46 eV/atom. The formation energy is -0.076 eV/atom.